Here is a relaxed structure of Ca4Pu3TaN8 from the Alexandria database. Energies are from PBE.

Cell lengths 6.8480, 6.8480, 16.8703 Å; angles 90.00, 90.00, 120.00 degrees
Last column: nearest neighbours and their distance in Å.
Space group R-3m (No. 166, hexagonal axes)
One atom of each set of equivalent atoms:
Ca: 0.0000 0.0000 0.0000 x3  6 N 2.65
Ca: 0.0000 0.5000 0.0000 x9  6 N 2.51-2.55
Pu: 0.0000 0.5000 0.5000 x9  6 N 2.32-2.36
Ta: 0.0000 0.0000 0.5000 x3  6 N 2.21
N: 0.0000 0.0000 0.2383 x6  3 Pu 2.32, 3 Ca 2.55
N: 0.0198 0.5099 0.2372 x18  1 Ta 2.21, 2 Pu 2.36

Calculated values
M_tot = 12.97 μB per formula unit
electronic total energy = -9.31 eV/atom